Entry from Alexandria: a relaxed structure of K3NaMn2F9 (PBE+U).

For the total energy, the calculation gives -5.16 eV per atom.

The space group is P-3m1 (No. 164) and the conventional cell measures 5.9590, 5.9590 and 7.3484 Å, with angles of 90.00, 90.00 and 120.00 degrees. The inequivalent atoms are K at (0.0000, 0.0000, 0.0000), K at (0.3333, 0.6667, 0.6460), Na at (0.0000, 0.0000, 0.5000), Mn at (0.3333, 0.6667, 0.1612), F at (0.0000, 0.5000, 0.0000) and F at (0.1740, 0.3481, 0.3161).